! SrWI2 | Alexandria via LeMat-Bulk | PBE | optimized geometry; values from VASP
! Fermi-level density of states ... 16.988 states/eV per cell
! Formation energy without anion corrections ... 0.66 eV per atom
&SYSTEM
  ibrav = 0, nat = 16, ntyp = 3
/
ATOMIC_SPECIES
Sr 87.62 Sr.upf
W 183.84 W.upf
I 126.90 I.upf
CELL_PARAMETERS angstrom
7.5525 0.0000 0.0000
0.0000 7.5525 0.0000
0.0000 0.0000 7.5525
ATOMIC_POSITIONS angstrom
Sr 0.0000 0.0000 0.0000
Sr 0.0000 3.7763 3.7763
Sr 3.7763 0.0000 3.7763
Sr 3.7763 3.7763 0.0000
W 0.0000 0.0000 3.7763
W 0.0000 3.7763 0.0000
W 3.7763 0.0000 0.0000
W 3.7763 3.7763 3.7763
I 1.8881 1.8881 1.8881
I 1.8881 1.8881 5.6644
I 1.8881 5.6644 1.8881
I 1.8881 5.6644 5.6644
I 5.6644 1.8881 1.8881
I 5.6644 1.8881 5.6644
I 5.6644 5.6644 1.8881
I 5.6644 5.6644 5.6644